Entry 1
This record from Alexandria via LeMat-Bulk describes a geometry-optimized TaReTcW structure. The functional is GGA-PBE.

## Properties
Calculated volume: 15.89 A^3/atom

a b c (Å): 3.1578 4.4631 4.5102
angles (deg): 90.00 90.00 90.00
Closest atoms and distances in Å follow each position.
Fractional positions:
Ta: 0.0000 0.5000 0.5000  4 Tc 2.73, 4 Re 2.75
Re: 0.5000 0.5000 0.0000  4 W 2.73, 4 Ta 2.75
Tc: 0.5000 0.0000 0.5000  4 Ta 2.73, 4 W 2.75
W: 0.0000 0.0000 0.0000  4 Re 2.73, 4 Tc 2.75


Entry 2
This record from Alexandria via LeMat-Bulk describes a geometry-optimized TaReTcW structure. The functional is GGA-PBE.

## Properties
Calculated volume: 15.89 A^3/atom

a b c (Å): 4.4799 4.4799 4.4799
angles (deg): 60.00 60.00 60.00
Closest atoms and distances in Å follow each position.
Fractional positions:
Re: 0.2500 0.2500 0.2500  4 Ta 2.74, 4 W 2.74
Tc: 0.7500 0.7500 0.7500  4 W 2.74, 4 Ta 2.74
W: 0.5000 0.5000 0.5000  4 Tc 2.74, 4 Re 2.74
Ta: 0.0000 0.0000 0.0000  4 Re 2.74, 4 Tc 2.74


On energetic grounds, entry 1 is preferred over the next structure by 0.6 kJ/mol of atoms.


Entry 1
This record from Alexandria via LeMat-Bulk describes a geometry-optimized TaReTe2 structure. The functional is GGA-PBE.

## Properties
Calculated volume: 19.59 A^3/atom

a b c (Å): 8.8665 8.8665 8.8665
angles (deg): 21.00 21.00 21.00
Closest atoms and distances in Å follow each position.
Fractional positions:
Re: 0.2500 0.2500 0.2500  6 Te 2.78
Ta: 0.7500 0.7500 0.7500  6 Te 2.94, 6 Ta 3.23
Te: 0.9962 0.9962 0.9962  3 Re 2.78, 3 Ta 2.94
Te: 0.5038 0.5038 0.5038  3 Re 2.78, 3 Ta 2.94


Entry 2
This record from Alexandria via LeMat-Bulk describes a geometry-optimized TaReTe2 structure. The functional is GGA-PBE.

## Properties
Calculated volume: 21.51 A^3/atom

a b c (Å): 4.5773 4.3622 4.3625
angles (deg): 81.05 90.00 90.00
Closest atoms and distances in Å follow each position.
Fractional positions:
Re: 0.5000 0.2500 0.2500  4 Te 2.79, 2 Ta 2.83
Ta: 0.5000 0.7500 0.7500  2 Re 2.83, 4 Te 2.87
Te: 0.0000 0.0106 0.0106  2 Re 2.79, 2 Te 2.84, 2 Ta 2.87
Te: 0.0000 0.4894 0.4894  2 Re 2.79, 2 Te 2.84, 2 Ta 2.87


Entry 3
This record from Alexandria via LeMat-Bulk describes a geometry-optimized TaReTe2 structure. The functional is GGA-PBE.

## Properties
Calculated volume: 20.52 A^3/atom

a b c (Å): 4.8784 4.8784 4.8784
angles (deg): 60.00 60.00 60.00
Closest atoms and distances in Å follow each position.
Fractional positions:
Re: 0.5000 0.5000 0.5000  4 Ta 2.99, 4 Te 2.99
Ta: 0.7500 0.7500 0.7500  4 Re 2.99, 4 Te 2.99
Te: 0.0000 0.0000 0.0000  4 Te 2.99, 4 Ta 2.99
Te: 0.2500 0.2500 0.2500  4 Re 2.99, 4 Te 2.99


On energetic grounds, entry 1 is preferred over the next structure by 28.9 kJ/mol of atoms.


Entry 1
This record from Alexandria via LeMat-Bulk describes a geometry-optimized TaReTe2 structure. The functional is GGA-PBE.

## Properties
Calculated volume: 18.96 A^3/atom

a b c (Å): 4.7515 4.7515 4.7515
angles (deg): 60.00 60.00 60.00
Closest atoms and distances in Å follow each position.
Fractional positions:
Re: 0.5000 0.5000 0.5000  8 Te 2.91
Te: 0.2500 0.2500 0.2500  4 Re 2.91, 4 Ta 2.91
Te: 0.7500 0.7500 0.7500  4 Re 2.91, 4 Ta 2.91
Ta: 0.0000 0.0000 0.0000  8 Te 2.91


Entry 2
This record from Alexandria via LeMat-Bulk describes a geometry-optimized TaReTe2 structure. The functional is GGA-PBE.

## Properties
Calculated volume: 19.62 A^3/atom

a b c (Å): 4.6732 4.6732 5.6268
angles (deg): 77.98 77.98 40.92
Closest atoms and distances in Å follow each position.
Fractional positions:
Re: 0.7500 0.7500 0.7500  6 Te 2.82-2.86
Ta: 0.2500 0.2500 0.2500  6 Te 2.85-2.86
Te: 0.0025 0.0025 0.9966  3 Re 2.82-2.86, 3 Ta 2.85-2.86
Te: 0.4975 0.4975 0.5034  3 Re 2.82-2.86, 3 Ta 2.85-2.86


Entry 3
This record from Alexandria via LeMat-Bulk describes a geometry-optimized TaReTe2 structure. The functional is GGA-PBE.

## Properties
Calculated volume: 20.95 A^3/atom

a b c (Å): 5.5052 4.8257 3.7205
angles (deg): 83.21 73.37 113.48
Closest atoms and distances in Å follow each position.
Fractional positions:
Re: 0.5000 0.5000 0.0000  4 Te 2.85, 2 Ta 2.87
Ta: 0.5000 0.0000 0.5000  4 Te 2.85, 2 Re 2.87
Te: 0.0000 0.0000 0.0000  2 Re 2.85, 2 Ta 2.85, 2 Te 2.87
Te: 0.0000 0.5000 0.5000  2 Ta 2.85, 2 Re 2.85, 2 Te 2.87


On energetic grounds, entry 1 is preferred over the next structure by 4.2 kJ/mol of atoms.


Entry 1
This record from Alexandria via LeMat-Bulk describes a geometry-optimized TaReTe2 structure. The functional is GGA-PBE.

## Properties
Calculated volume: 27.13 A^3/atom

a b c (Å): 4.7972 4.7972 7.0800
angles (deg): 81.88 81.88 42.36
Closest atoms and distances in Å follow each position.
Fractional positions:
Re: 0.5190 0.5190 0.4186  3 Ta 2.61-2.72, 3 Te 2.79-2.87
Ta: 0.2353 0.2353 0.3241  3 Re 2.61-2.72, 3 Te 2.86-2.87
Te: 0.9806 0.9806 0.1206  2 Re 2.79, 3 Ta 2.87-2.99
Te: 0.7651 0.7651 0.6367  2 Ta 2.86, 3 Re 2.87-3.08


Entry 2
This record from Alexandria via LeMat-Bulk describes a geometry-optimized TaReTe2 structure. The functional is GGA-PBE.

## Properties
Calculated volume: 23.60 A^3/atom

a b c (Å): 6.9933 6.9933 6.9933
angles (deg): 151.99 143.87 46.33
Closest atoms and distances in Å follow each position.
Fractional positions:
Re: 0.4791 0.4791 0.0000  2 Ta 2.57, 4 Te 2.75
Ta: 0.3289 0.8289 0.5000  2 Re 2.57
Te: 0.9815 0.9815 0.0000  4 Re 2.75, 2 Ta 2.92
Te: 0.7105 0.2105 0.5000  4 Ta 3.14, 2 Te 3.39, 2 Re 3.42


On energetic grounds, entry 1 is preferred over the next structure by 18.2 kJ/mol of atoms.


Entry 1
This record from Alexandria via LeMat-Bulk describes a geometry-optimized TaReTe4 structure. The functional is GGA-PBE.

## Properties
Calculated volume: 26.02 A^3/atom

a b c (Å): 6.0440 6.0440 6.0440
angles (deg): 60.00 60.00 60.00
Closest atoms and distances in Å follow each position.
Fractional positions:
Ta: 0.0000 0.0000 0.0000  12 Te 3.54, 4 Re 3.70
Re: 0.7500 0.7500 0.7500  12 Te 3.54, 4 Ta 3.70
Te: 0.8741 0.3753 0.3753  6 Te 3.01-3.03
Te: 0.3753 0.3753 0.8741  6 Te 3.01-3.03
Te: 0.3753 0.8741 0.3753  6 Te 3.01-3.03
Te: 0.3753 0.3753 0.3753  6 Te 3.01-3.03


Entry 2
This record from Alexandria via LeMat-Bulk describes a geometry-optimized TaReTe4 structure. The functional is GGA-PBE.

## Properties
Calculated volume: 28.00 A^3/atom

a b c (Å): 3.5337 7.8701 6.3541
angles (deg): 102.38 90.00 102.98
Closest atoms and distances in Å follow each position.
Fractional positions:
Ta: 0.5072 0.0146 0.4338  6 Te 2.76-2.89, 2 Re 2.90
Re: 0.9933 0.9865 0.0657  6 Te 2.71-2.82, 2 Ta 2.90
Te: 0.8992 0.7985 0.6307  1 Re 2.82, 2 Ta 2.89
Te: 0.1417 0.2834 0.3986  1 Re 2.75, 2 Ta 2.76
Te: 0.3616 0.7234 0.0910  2 Re 2.71, 1 Ta 2.76
Te: 0.5968 0.1936 0.8800  2 Re 2.80, 1 Ta 2.87


On energetic grounds, entry 2 is preferred over the next structure by 192.1 kJ/mol of atoms.


Entry 1
This record from Alexandria via LeMat-Bulk describes a geometry-optimized TaRe3Te structure. The functional is GGA-PBE.

## Properties
Calculated volume: 21.12 A^3/atom

a b c (Å): 4.7265 4.7265 4.7265
angles (deg): 90.00 90.00 90.00
Closest atoms and distances in Å follow each position.
Fractional positions:
Re: 0.0000 0.5000 0.0000  2 Te 2.36
Re: 0.0000 0.0000 0.5000  2 Te 2.36
Re: 0.5000 0.0000 0.0000  2 Te 2.36
Te: 0.0000 0.0000 0.0000  6 Re 2.36
Ta: 0.5000 0.5000 0.5000  12 Re 3.34


Entry 2
This record from Alexandria via LeMat-Bulk describes a geometry-optimized TaRe3Te structure. The functional is GGA-PBE.

## Properties
Calculated volume: 22.38 A^3/atom

a b c (Å): 4.8192 4.8192 4.8192
angles (deg): 90.00 90.00 90.00
Closest atoms and distances in Å follow each position.
Fractional positions:
Re: 0.0000 0.5000 0.0000  2 Ta 2.41
Re: 0.0000 0.0000 0.5000  2 Ta 2.41
Re: 0.5000 0.0000 0.0000  2 Ta 2.41
Te: 0.5000 0.5000 0.5000  12 Re 3.41
Ta: 0.0000 0.0000 0.0000  6 Re 2.41


On energetic grounds, entry 2 is preferred over the next structure by 14.6 kJ/mol of atoms.